TcNiIr2: optimized geometry, PBE.

The structure in POSCAR format:
```
TcNiIr2
1.0
-0.169 -2.097 -1.697
1.985 1.055 -1.501
5.057 -3.709 4.080
Ir Ni Tc
2 1 1
direct
0.000 0.000 0.999
0.500 0.500 0.261
0.000 0.000 0.501
0.500 0.500 0.739
```

Summary:
- space group = No. 99
- E_form (meV/atom) = -10

---

HfMgAg2: optimized geometry, PBE.

The structure in POSCAR format:
```
HfMgAg2
1.0
3.183 0.000 0.000
0.000 3.183 0.000
0.000 0.000 7.534
Mg Hf Ag
1 1 2
direct
0.500 0.500 0.000
0.500 0.500 0.500
0.000 0.000 0.761
0.000 0.000 0.239
```

Summary:
- space group = No. 123
- E_form (meV/atom) = -70